No. 1
A plane-wave DFT calculation with SCAN was carried out for a PBEsol-optimized structure of MoAs2BrCl.

Unit cell a=4.6165 b=4.6165 c=5.7302 alpha=90.00 beta=90.00 gamma=90.00
Sites, in units of the cell vectors:
Br1 0.0000 0.0000 0.5000
Mo1 0.5000 0.5000 0.5000
Cl1 0.0000 0.0000 0.0000
As1 0.5000 0.0000 0.0000
As2 0.0000 0.5000 0.0000

Calculated values
- Space-group type: P4/mmm (123)
- E_form (uncorrected): 1301 meV per atom
- Volume: 122.1 Å³ per cell
- Total energy: -96.20 eV/f.u.
- Density: 4.9 g/cm³

---

No. 2
A plane-wave DFT calculation with SCAN was carried out for a PBEsol-optimized structure of NbAs2BrCl.

Unit cell a=4.9884 b=4.9884 c=4.9810 alpha=90.00 beta=90.00 gamma=90.00
Sites, in units of the cell vectors:
Nb1 0.0000 0.0000 0.0000
As1 0.5000 0.0000 0.0000
Cl1 0.5000 0.5000 0.5000
Br1 0.0000 0.0000 0.5000
As2 0.0000 0.5000 0.0000

Calculated values
- Space-group type: P4/mmm (123)
- E_form (uncorrected): 49 meV per atom
- Volume: 123.9 Å³ per cell
- Total energy: -100.71 eV/f.u.
- Density: 4.8 g/cm³

---

No. 3
A plane-wave DFT calculation with SCAN was carried out for a PBEsol-optimized structure of As2OsBrCl.

Unit cell a=4.7902 b=4.7413 c=4.7413 alpha=90.00 beta=90.00 gamma=90.00
Sites, in units of the cell vectors:
Cl1 0.0000 0.0000 0.0000
Os1 0.5000 0.5000 0.5000
Br1 0.5000 0.0000 0.0000
As1 0.0000 0.0000 0.5000
As2 0.0000 0.5000 0.0000

Calculated values
- Space-group type: P4/mmm (123)
- E_form (uncorrected): 2014 meV per atom
- Volume: 107.7 Å³ per cell
- Total energy: -129.63 eV/f.u.
- Density: 7.0 g/cm³

---

No. 4
A plane-wave DFT calculation with SCAN was carried out for a PBEsol-optimized structure of RbAsBr2Cl.

Unit cell a=4.5182 b=6.3176 c=6.3176 alpha=90.00 beta=90.00 gamma=90.00
Sites, in units of the cell vectors:
Br1 0.0000 0.0000 0.5000
Cl1 0.0000 0.0000 0.0000
Br2 0.0000 0.5000 0.0000
As1 0.5000 0.0000 0.0000
Rb1 0.5000 0.5000 0.5000

Calculated values
- Space-group type: P4/mmm (123)
- E_form (uncorrected): -276 meV per atom
- Volume: 180.3 Å³ per cell
- Total energy: -89.21 eV/f.u.
- Density: 3.3 g/cm³

---

No. 5
A plane-wave DFT calculation with SCAN was carried out for a PBEsol-optimized structure of TlAs2BrCl.

Unit cell a=4.7204 b=4.7204 c=6.7149 alpha=90.00 beta=90.00 gamma=90.00
Sites, in units of the cell vectors:
Tl1 0.5000 0.5000 0.5000
Cl1 0.0000 0.0000 0.0000
As1 0.0000 0.5000 0.0000
Br1 0.0000 0.0000 0.5000
As2 0.5000 0.0000 0.0000

Calculated values
- Space-group type: P4/mmm (123)
- E_form (uncorrected): 500 meV per atom
- Volume: 149.6 Å³ per cell
- Total energy: -137.68 eV/f.u.
- Density: 5.2 g/cm³

---

No. 6
A plane-wave DFT calculation with SCAN was carried out for a PBEsol-optimized structure of ZrAs2BrCl.

Unit cell a=5.1141 b=5.1844 c=5.1844 alpha=90.00 beta=90.00 gamma=90.00
Sites, in units of the cell vectors:
As1 0.0000 0.0000 0.5000
As2 0.0000 0.5000 0.0000
Cl1 0.5000 0.5000 0.5000
Br1 0.5000 0.0000 0.0000
Zr1 0.0000 0.0000 0.0000

Calculated values
- Space-group type: P4/mmm (123)
- E_form (uncorrected): -137 meV per atom
- Volume: 137.5 Å³ per cell
- Total energy: -99.20 eV/f.u.
- Density: 4.3 g/cm³

---

No. 7
A plane-wave DFT calculation with SCAN was carried out for a PBEsol-optimized structure of CoAsBr.

Unit cell a=4.3588 b=4.3588 c=4.3588 alpha=60.00 beta=60.00 gamma=60.00
Sites, in units of the cell vectors:
As1 0.5000 0.5000 0.5000
Br1 0.2500 0.2500 0.2500
Co1 0.0000 0.0000 0.0000

Calculated values
- Space-group type: F-43m (216)
- E_form (uncorrected): 1308 meV per atom
- Volume: 58.6 Å³ per cell
- Total energy: -53.03 eV/f.u.
- Density: 6.1 g/cm³

---

No. 8
A plane-wave DFT calculation with SCAN was carried out for a PBEsol-optimized structure of Co2AsBr.

Unit cell a=3.6069 b=3.6079 c=5.3912 alpha=90.00 beta=90.09 gamma=90.00
Sites, in units of the cell vectors:
As1 0.6257 0.0000 0.3874
Co1 0.6250 0.5000 0.1296
Co2 0.1251 0.0000 0.1295
Br1 0.1243 0.5000 0.8535

Calculated values
- Space-group type: Pm (6)
- E_form (uncorrected): 83 meV per atom
- Volume: 70.2 Å³ per cell
- Total energy: -73.93 eV/f.u.
- Density: 6.5 g/cm³

---

No. 9
A plane-wave DFT calculation with SCAN was carried out for a PBEsol-optimized structure of Co2AsBr.

Unit cell a=2.9409 b=3.7520 c=5.5765 alpha=90.00 beta=90.00 gamma=90.00
Sites, in units of the cell vectors:
As1 0.5000 0.5000 0.0000
Co1 0.5000 0.0000 0.5000
Br1 0.0000 0.5000 0.5000
Co2 0.0000 0.0000 0.0000

Calculated values
- Space-group type: Pmmm (47)
- E_form (uncorrected): 594 meV per atom
- Volume: 61.5 Å³ per cell
- Total energy: -71.88 eV/f.u.
- Density: 7.4 g/cm³

---

No. 10
A plane-wave DFT calculation with SCAN was carried out for a PBEsol-optimized structure of CoAsBr2F.

Unit cell a=4.4018 b=4.7407 c=4.7407 alpha=90.00 beta=90.00 gamma=90.00
Sites, in units of the cell vectors:
Co1 0.0000 0.0000 0.0000
Br1 0.0000 0.5000 0.0000
As1 0.5000 0.0000 0.0000
Br2 0.0000 0.0000 0.5000
F1 0.5000 0.5000 0.5000

Calculated values
- Space-group type: P4/mmm (123)
- E_form (uncorrected): 112 meV per atom
- Volume: 98.9 Å³ per cell
- Total energy: -79.39 eV/f.u.
- Density: 5.2 g/cm³

---

No. 11
A plane-wave DFT calculation with SCAN was carried out for a PBEsol-optimized structure of CoAsBr2F.

Unit cell a=3.7904 b=5.3197 c=5.3197 alpha=90.00 beta=90.00 gamma=90.00
Sites, in units of the cell vectors:
Co1 0.5000 0.5000 0.5000
Br1 0.0000 0.0000 0.5000
As1 0.5000 0.0000 0.0000
F1 0.0000 0.0000 0.0000
Br2 0.0000 0.5000 0.0000

Calculated values
- Space-group type: P4/mmm (123)
- E_form (uncorrected): 371 meV per atom
- Volume: 107.3 Å³ per cell
- Total energy: -78.10 eV/f.u.
- Density: 4.8 g/cm³

---

No. 12
A plane-wave DFT calculation with SCAN was carried out for a PBEsol-optimized structure of GaCoAsBr2.

Unit cell a=4.9960 b=4.9916 c=4.9916 alpha=90.00 beta=90.00 gamma=90.00
Sites, in units of the cell vectors:
Br1 0.0000 0.0000 0.5000
As1 0.5000 0.0000 0.0000
Br2 0.0000 0.5000 0.0000
Ga1 0.0000 0.0000 0.0000
Co1 0.5000 0.5000 0.5000

Calculated values
- Space-group type: P4/mmm (123)
- E_form (uncorrected): 645 meV per atom
- Volume: 124.5 Å³ per cell
- Total energy: -89.53 eV/f.u.
- Density: 4.8 g/cm³

---

No. 13
A plane-wave DFT calculation with SCAN was carried out for a PBEsol-optimized structure of HfCoAs2Br.

Unit cell a=4.4915 b=4.4915 c=4.7146 alpha=90.00 beta=90.00 gamma=90.00
Sites, in units of the cell vectors:
Co1 0.0000 0.0000 0.0000
As1 0.0000 0.5000 0.0000
Br1 0.0000 0.0000 0.5000
Hf1 0.5000 0.5000 0.5000
As2 0.5000 0.0000 0.0000

Calculated values
- Space-group type: P4/mmm (123)
- E_form (uncorrected): 436 meV per atom
- Volume: 95.1 Å³ per cell
- Total energy: -137.64 eV/f.u.
- Density: 8.2 g/cm³

---

No. 14
A plane-wave DFT calculation with SCAN was carried out for a PBEsol-optimized structure of CoNiAsBr2.

Unit cell a=4.3293 b=4.8517 c=4.8517 alpha=90.00 beta=90.00 gamma=90.00
Sites, in units of the cell vectors:
Ni1 0.5000 0.5000 0.5000
Br1 0.0000 0.0000 0.5000
Co1 0.0000 0.0000 0.0000
Br2 0.0000 0.5000 0.0000
As1 0.5000 0.0000 0.0000

Calculated values
- Space-group type: P4/mmm (123)
- E_form (uncorrected): 678 meV per atom
- Volume: 101.9 Å³ per cell
- Total energy: -89.20 eV/f.u.
- Density: 5.7 g/cm³

---

No. 15
A plane-wave DFT calculation with SCAN was carried out for a PBEsol-optimized structure of CoAs2PbBr.

Unit cell a=5.3282 b=5.3282 c=5.5337 alpha=90.00 beta=90.00 gamma=90.00
Sites, in units of the cell vectors:
Co1 0.5000 0.5000 0.5000
Pb1 0.0000 0.0000 0.0000
Br1 0.0000 0.0000 0.5000
As1 0.0000 0.5000 0.0000
As2 0.5000 0.0000 0.0000

Calculated values
- Space-group type: P4/mmm (123)
- E_form (uncorrected): 1195 meV per atom
- Volume: 157.1 Å³ per cell
- Total energy: -146.95 eV/f.u.
- Density: 5.2 g/cm³